Record 1
12
Lattice="7.145 0.002 0.002 -3.569 6.189 0.002 -1.191 -2.061 7.068" Properties=species:S:1:pos:R:3 comment="PBE Y6GeTe3S2, optimized geometry" spacegroup="C2/m, No. 12" e_form_raw_mev_per_atom=-1542.0 volume_a3_per_cell=313 magnetic_moment_mub_per_fu=0.000 final_energy_ev_per_atom=-6.632 pbc="T T T"
Y 3.583 2.055 5.578
Y -1.198 2.075 1.494
Y 0.009 0.016 5.586
Y -0.011 4.130 5.578
Y 2.376 4.114 1.487
Y 2.396 -0.001 1.494
Te 1.193 2.065 3.536
Te 4.775 -0.004 3.536
Te -2.390 4.134 3.536
Ge 0.000 0.000 0.000
S 3.576 2.063 0.002
S 0.000 4.128 0.002

=====

Record 2
4
Lattice="-2.909 -1.239 -4.496 -3.784 -3.982 0.186 -5.341 1.271 -0.254" Properties=species:S:1:pos:R:3 comment="PBE CePrEuAl, optimized geometry" spacegroup="F-43m, No. 216" volume_a3_per_cell=117 magnetic_moment_mub_per_fu=8.587 final_energy_ev_per_atom=-6.179 pbc="T T T"
Al -6.017 -1.975 -2.282
Ce -9.026 -2.963 -3.423
Pr -3.009 -0.988 -1.141
Eu 0.000 0.000 0.000

=====

Record 3
12
Lattice="5.817 0.000 0.000 0.000 7.849 -0.115 0.000 -2.685 7.376" Properties=species:S:1:pos:R:3 comment="PBE Dy2ZnSn3, optimized geometry" spacegroup="Cmcm, No. 63" volume_a3_per_cell=335 magnetic_moment_mub_per_fu=0.000 final_energy_ev_per_atom=-3.973 pbc="T T T"
Zn 1.454 0.601 0.845
Zn 4.363 4.563 6.417
Sn 0.000 6.029 1.179
Sn 1.454 2.134 3.001
Sn 2.909 6.029 1.179
Sn 0.000 -0.866 6.082
Sn 4.363 3.030 4.260
Sn 2.909 -0.866 6.082
Dy 1.454 5.117 3.867
Dy 1.454 1.972 6.103
Dy 4.363 3.191 1.158
Dy 4.363 0.046 3.394

=====

Record 4
4
Lattice="-1.133 1.235 4.720 -4.148 -2.915 -0.233 2.690 -3.961 1.682" Properties=species:S:1:pos:R:3 comment="PBE PmDy2Th, optimized geometry" spacegroup="P4/mmm, No. 123" volume_a3_per_cell=129 magnetic_moment_mub_per_fu=0.000 final_energy_ev_per_atom=-5.301 de_polymorph_ev_per_atom=0.050 pbc="T T T"
Pm -0.567 0.618 2.360
Dy 1.345 -1.981 0.841
Dy -2.074 -1.458 -0.116
Th -1.296 -2.821 3.085

=====

Record 5
8
Lattice="-3.381 -1.625 1.528 0.670 -2.004 -6.019 4.894 -7.364 2.996" Properties=species:S:1:pos:R:3 comment="PBE Nd2YRu, optimized geometry" spacegroup="Cmcm, No. 63" volume_a3_per_cell=229 magnetic_moment_mub_per_fu=0.000 final_energy_ev_per_atom=-6.516 de_polymorph_ev_per_atom=0.023 pbc="T T T"
Ru 1.487 -7.696 0.474
Ru 0.695 -3.298 -1.970
Nd 2.047 -6.203 -2.069
Nd -1.647 -2.109 -0.518
Nd 0.135 -4.791 0.573
Nd 3.829 -8.885 -0.978
Y 3.507 -5.973 1.409
Y -1.325 -5.021 -2.905

=====

Record 6
3
Lattice="-3.134 2.672 -5.557 -5.244 0.939 -4.411 -1.349 2.387 1.119" Properties=species:S:1:pos:R:3 comment="PBE MgAsAu, optimized geometry" spacegroup="I4mm, No. 107" volume_a3_per_cell=58 magnetic_moment_mub_per_fu=0.000 final_energy_ev_per_atom=-3.361 pbc="T T T"
As -1.457 2.406 0.947
Au -3.544 2.769 -2.344
Mg -6.073 3.210 -6.334

=====

Record 7
26
Lattice="6.399 0.031 0.000 -0.916 6.333 0.000 0.000 0.000 8.216" Properties=species:S:1:pos:R:3 comment="PBE NdFe10Si2, optimized geometry" spacegroup="Cmcm, No. 63" e_form_raw_mev_per_atom=-190.7 volume_a3_per_cell=333 magnetic_moment_mub_per_fu=20.159 final_energy_ev_per_atom=-7.902 de_polymorph_ev_per_atom=0.016 pbc="T T T"
Si -0.458 3.167 0.000
Si 3.200 0.016 0.000
Si -0.458 3.167 4.108
Si 3.200 0.016 4.108
Fe 3.123 5.530 2.054
Fe 1.280 1.486 4.108
Fe 2.360 0.835 6.162
Fe 3.519 2.513 7.592
Fe 2.850 1.545 2.054
Fe 1.106 3.047 6.162
Fe 5.197 1.067 3.260
Fe 4.202 4.879 4.108
Fe 5.197 1.067 0.848
Fe 0.286 5.298 4.956
Fe 1.280 1.486 0.000
Fe 3.519 2.513 4.732
Fe 5.007 3.907 6.162
Fe 1.964 3.852 0.624
Fe 0.286 5.298 7.368
Fe 1.964 3.852 3.484
Fe 4.377 3.317 2.054
Fe 0.476 2.458 2.054
Fe 2.633 4.820 6.162
Fe 4.202 4.879 0.000
Nd 5.515 0.793 6.162
Nd -0.033 5.572 2.054

=====

Record 8
3
Lattice="4.827 0.000 0.000 2.414 4.181 0.000 2.414 1.394 3.942" Properties=species:S:1:pos:R:3 comment="PBE KNiW, optimized geometry" spacegroup="F-43m, No. 216" volume_a3_per_cell=80 magnetic_moment_mub_per_fu=4.108 final_energy_ev_per_atom=-3.601 de_polymorph_ev_per_atom=2.141 pbc="T T T"
Ni 0.000 0.000 0.000
W 4.827 2.787 1.971
K 7.241 4.181 2.956

=====

Record 9
20
Lattice="8.327 0.000 0.146 0.000 8.817 0.000 0.283 0.000 10.881" Properties=species:S:1:pos:R:3 comment="PBE Tl2CuBiI6, optimized geometry" spacegroup="P2_1/c, No. 14" e_form_raw_mev_per_atom=-425.0 volume_a3_per_cell=799 magnetic_moment_mub_per_fu=0.000 final_energy_ev_per_atom=-2.626 pbc="T T T"
Bi 0.141 4.409 5.440
Bi 4.164 0.000 0.073
Tl 8.279 0.822 8.244
Tl 0.331 7.995 2.783
Tl 4.636 5.231 8.297
Tl 3.974 3.586 2.730
I 1.635 1.717 0.634
I 2.670 6.125 4.880
I 6.873 7.041 6.072
I 5.133 0.214 3.086
I 5.940 2.692 6.147
I 6.042 2.632 10.468
I 3.476 8.603 7.941
I 1.111 4.195 8.453
I 6.975 7.101 10.393
I 7.499 4.623 2.574
I 1.737 1.777 4.955
I 2.568 6.185 0.559
Cu 4.305 0.000 5.513
Cu 0.000 4.409 0.000

=====

Record 10
4
Lattice="4.033 0.000 0.000 0.000 4.373 0.000 0.000 0.000 4.373" Properties=species:S:1:pos:R:3 comment="PBE LiPrPd2, optimized geometry" spacegroup="P4/mmm, No. 123" volume_a3_per_cell=77 magnetic_moment_mub_per_fu=0.000 final_energy_ev_per_atom=-4.822 pbc="T T T"
Li 2.017 0.000 0.000
Pd 0.000 2.186 0.000
Pd 0.000 0.000 2.186
Pr 2.017 2.186 2.186

=====

Record 11
16
Lattice="5.070 0.000 0.000 0.000 5.040 0.190 0.000 -0.397 10.179" Properties=species:S:1:pos:R:3 comment="PBE Sc2PH, optimized geometry" spacegroup="P2/c, No. 13" volume_a3_per_cell=260 magnetic_moment_mub_per_fu=0.000 final_energy_ev_per_atom=-6.211 de_polymorph_ev_per_atom=0.000 pbc="T T T"
Sc 3.933 2.274 6.477
Sc 1.240 2.227 9.019
Sc 3.933 4.690 9.076
Sc 1.137 -0.048 1.293
Sc 1.137 2.369 3.891
Sc 3.830 2.416 1.350
Sc 3.830 -0.095 3.834
Sc 1.240 4.737 6.535
H 3.937 2.285 3.914
H 1.133 4.606 9.099
H 1.133 2.358 6.455
H 3.937 0.036 1.270
P 1.295 2.476 1.366
P 3.775 2.167 9.003
P 3.775 -0.243 6.360
P 1.295 4.886 4.009